[1]
Below is a relaxed PmSmInRu crystal, with properties calculated at the GGA-PBE level.

abc: 3.432 3.432 8.582
angles: 90.00 90.00 90.00
Positions (direct):
Pm: 0.500 0.500 0.774
Sm: 0.500 0.500 0.369
In: 0.000 0.000 0.073
Ru: 0.000 0.000 0.570

The energy above the most stable polymorph in this dataset comes out at 0 meV per atom. The value obtained for the total magnetic moment is 0.00 Bohr magnetons per cell. For the formation energy, the calculation gives -0.347 eV per atom. The space group is P4mm, No. 99.



[2]
Below is a relaxed PmSmInRu crystal, with properties calculated at the GGA-PBE level.

abc: 5.182 5.182 5.182
angles: 60.00 60.00 60.00
Positions (direct):
Ru: 0.250 0.250 0.250
In: 0.750 0.750 0.750
Sm: 0.000 0.000 0.000
Pm: 0.500 0.500 0.500

The energy above the most stable polymorph in this dataset comes out at 105 meV per atom. The value obtained for the total magnetic moment is 0.00 Bohr magnetons per cell. For the formation energy, the calculation gives -0.242 eV per atom. The space group is F-43m, No. 216.



[3]
Below is a relaxed PmZnInRu crystal, with properties calculated at the GGA-PBE level.

abc: 4.842 4.842 4.842
angles: 60.00 60.00 60.00
Positions (direct):
Ru: 0.750 0.750 0.750
Zn: 0.250 0.250 0.250
In: 0.000 0.000 0.000
Pm: 0.500 0.500 0.500

The value obtained for the total magnetic moment is 0.00 Bohr magnetons per cell. For the formation energy, the calculation gives -0.095 eV per atom. The space group is F-43m, No. 216.



[4]
Below is a relaxed Pm2InS crystal, with properties calculated at the GGA-PBE level.

abc: 3.919 3.919 8.618
angles: 76.86 76.86 60.00
Positions (direct):
Pm: 0.066 0.066 0.801
Pm: 0.267 0.267 0.200
In: 0.500 0.500 0.501
S: 0.667 0.667 0.998

The energy above the most stable polymorph in this dataset comes out at 48 meV per atom. As for the uncorrected formation energy: -1.1666 eV/atom. The value obtained for the total magnetic moment is 0.00 Bohr magnetons per cell. The space group is R3m, No. 160.



[5]
Below is a relaxed Pm2InS crystal, with properties calculated at the GGA-PBE level.

abc: 3.485 3.485 8.194
angles: 90.00 90.00 90.00
Positions (direct):
S: 0.500 0.500 0.000
In: 0.500 0.500 0.500
Pm: 0.000 0.000 0.781
Pm: 0.000 0.000 0.219

The energy above the most stable polymorph in this dataset comes out at 175 meV per atom. As for the uncorrected formation energy: -1.0402 eV/atom. The value obtained for the total magnetic moment is 0.00 Bohr magnetons per cell. The space group is P4/mmm, No. 123.



[6]
Below is a relaxed Pm4In2S crystal, with properties calculated at the GGA-PBE level.

abc: 4.115 6.747 8.120
angles: 76.22 75.32 72.24
Positions (direct):
Pm: 0.090 0.172 0.648
Pm: 0.910 0.828 0.352
Pm: 0.336 0.261 0.067
Pm: 0.664 0.739 0.933
In: 0.374 0.588 0.665
In: 0.626 0.412 0.335
S: 0.000 0.000 0.000

The energy above the most stable polymorph in this dataset comes out at 0 meV per atom. As for the uncorrected formation energy: -0.8543 eV/atom. The value obtained for the total magnetic moment is 0.00 Bohr magnetons per cell. The space group is C2/m, No. 12.



[7]
Below is a relaxed Pm7InS5 crystal, with properties calculated at the GGA-PBE level.

abc: 4.051 7.026 24.337
angles: 89.99 90.00 106.79
Positions (direct):
Pm: 0.483 0.966 0.250
Pm: 0.518 0.035 0.750
Pm: 0.636 0.272 0.036
Pm: 0.365 0.729 0.964
Pm: 0.365 0.729 0.536
Pm: 0.636 0.272 0.464
Pm: 0.176 0.352 0.171
Pm: 0.825 0.649 0.829
Pm: 0.824 0.648 0.671
Pm: 0.176 0.353 0.329
Pm: 0.909 0.818 0.109
Pm: 0.092 0.183 0.891
Pm: 0.091 0.183 0.609
Pm: 0.909 0.818 0.391
In: 0.801 0.602 0.250
In: 0.199 0.399 0.750
S: 0.000 0.001 0.000
S: 0.727 0.454 0.930
S: 0.274 0.547 0.070
S: 0.544 0.088 0.360
S: 0.456 0.913 0.640
S: 0.000 0.001 0.500
S: 0.274 0.548 0.430
S: 0.727 0.454 0.570
S: 0.457 0.913 0.860
S: 0.544 0.088 0.140

As for the uncorrected formation energy: -1.6536 eV/atom. The value obtained for the total magnetic moment is 0.00 Bohr magnetons per cell. The space group is C2/m, No. 12.



[8]
Below is a relaxed Pm2InS4 crystal, with properties calculated at the GGA-PBE level.

abc: 4.088 7.185 7.779
angles: 119.20 105.23 90.00
Positions (direct):
Pm: 0.722 0.730 0.445
Pm: 0.278 0.270 0.555
In: 0.000 0.000 0.000
S: 0.874 0.182 0.748
S: 0.126 0.818 0.252
S: 0.642 0.282 0.284
S: 0.358 0.718 0.716

As for the uncorrected formation energy: -1.4792 eV/atom. The value obtained for the total magnetic moment is 0.00 Bohr magnetons per cell. The space group is C2/m, No. 12.